! SrIn2Sb (PBE-GGA, optimized geometry); values from VASP
&SYSTEM
  ibrav = 0, nat = 12, ntyp = 3
/
ATOMIC_SPECIES
Sr 87.62 Sr.upf
In 114.82 In.upf
Sb 121.76 Sb.upf
CELL_PARAMETERS angstrom
5.205 0.000 0.000
-2.602 4.508 0.000
0.000 0.000 16.487
ATOMIC_POSITIONS crystal
Sr 0.000 0.000 0.000
Sr 0.333 0.667 0.667
Sr 0.667 0.333 0.333
In 0.000 0.000 0.226
In 0.000 0.000 0.774
In 0.333 0.667 0.441
In 0.333 0.667 0.892
In 0.667 0.333 0.108
In 0.667 0.333 0.559
Sb 0.000 0.000 0.500
Sb 0.333 0.667 0.167
Sb 0.667 0.333 0.833
! uncorrected formation energy	-0.25	eV per atom
! N(E_F)	8.1	states/eV/cell
! SG	R-3m (166)

***

! Nd3Rh2Pb3 (PBE-GGA, optimized geometry); values from VASP
&SYSTEM
  ibrav = 0, nat = 32, ntyp = 3
/
ATOMIC_SPECIES
Nd 144.24 Nd.upf
Rh 102.91 Rh.upf
Pb 207.20 Pb.upf
CELL_PARAMETERS angstrom
8.663 0.000 0.000
0.000 15.966 0.000
0.000 0.000 6.023
ATOMIC_POSITIONS crystal
Nd 0.028 0.113 0.114
Nd 0.028 0.387 0.114
Nd 0.165 0.250 0.638
Nd 0.335 0.750 0.138
Nd 0.472 0.613 0.614
Nd 0.472 0.887 0.614
Nd 0.528 0.113 0.386
Nd 0.528 0.387 0.386
Nd 0.665 0.250 0.862
Nd 0.835 0.750 0.362
Nd 0.972 0.613 0.886
Nd 0.972 0.887 0.886
Rh 0.083 0.616 0.363
Rh 0.083 0.884 0.363
Rh 0.417 0.116 0.863
Rh 0.417 0.384 0.863
Rh 0.583 0.616 0.137
Rh 0.583 0.884 0.137
Rh 0.917 0.116 0.637
Rh 0.917 0.384 0.637
Pb 0.186 0.750 0.630
Pb 0.191 0.033 0.614
Pb 0.191 0.467 0.614
Pb 0.309 0.533 0.114
Pb 0.309 0.967 0.114
Pb 0.314 0.250 0.130
Pb 0.686 0.750 0.870
Pb 0.691 0.033 0.886
Pb 0.691 0.467 0.886
Pb 0.809 0.533 0.386
Pb 0.809 0.967 0.386
Pb 0.814 0.250 0.370
! N(E_F)	24.7	states/eV/cell
! SG	Pnma (62)
! ΔH_f (0 K)	-0.552	eV/atom

***

Number 1: density 5.65 g/cm³. Number 2: density 10.05 g/cm³.